(1)
# DyPuClO4 (PBE, optimized geometry)
data_DyPuClO4
_cell_length_a 6.888
_cell_length_b 6.888
_cell_length_c 6.614
_cell_angle_alpha 72.61
_cell_angle_beta 72.61
_cell_angle_gamma 60.38
_space_group_name_H-M_alt 'P 1'
_space_group_IT_number 1
_space_group_name_Hall 'P 1'
loop_
_atom_site_label
_atom_site_type_symbol
_atom_site_fract_x
_atom_site_fract_y
_atom_site_fract_z
Cl1 Cl 0.970 0.970 0.253
Cl2 Cl 0.030 0.030 0.747
O1 O 0.942 0.552 0.806
O2 O 0.058 0.448 0.194
O3 O 0.333 0.333 0.530
O4 O 0.448 0.058 0.194
O5 O 0.667 0.667 0.470
O6 O 0.580 0.580 0.085
O7 O 0.420 0.420 0.915
O8 O 0.552 0.942 0.806
Pu1 Pu 0.372 0.372 0.234
Pu2 Pu 0.628 0.628 0.766
Dy1 Dy 0.212 0.212 0.924
Dy2 Dy 0.788 0.788 0.076
# M_tot, μB/f.u.: 2.0
# DOS(E_F), states/eV/f.u.: 5.5
# Mass density, g cm⁻³: 6.6
# Space group: C2/m, No. 12
# Uncorrected formation energy, meV per atom: -2521

---

(2)
# DyReClO4 (PBE, optimized geometry)
data_DyReClO4
_cell_length_a 6.315
_cell_length_b 6.315
_cell_length_c 6.954
_cell_angle_alpha 76.99
_cell_angle_beta 76.99
_cell_angle_gamma 68.24
_space_group_name_H-M_alt 'P 1'
_space_group_IT_number 1
_space_group_name_Hall 'P 1'
loop_
_atom_site_label
_atom_site_type_symbol
_atom_site_fract_x
_atom_site_fract_y
_atom_site_fract_z
O1 O 0.118 0.477 0.146
O2 O 0.523 0.882 0.854
O3 O 0.541 0.541 0.212
O4 O 0.712 0.712 0.459
O5 O 0.882 0.523 0.854
O6 O 0.459 0.459 0.788
O7 O 0.477 0.118 0.146
O8 O 0.288 0.288 0.541
Re1 Re 0.634 0.634 0.716
Re2 Re 0.366 0.366 0.284
Dy1 Dy 0.782 0.782 0.097
Dy2 Dy 0.218 0.218 0.903
Cl1 Cl 0.006 0.006 0.233
Cl2 Cl 0.994 0.994 0.767
# M_tot, μB/f.u.: 1.0
# DOS(E_F), states/eV/f.u.: 2.5
# Mass density, g cm⁻³: 6.0
# Space group: C2/m, No. 12
# Uncorrected formation energy, meV per atom: -2156

---

(3)
# DySClO4 (PBE, optimized geometry)
data_DySClO4
_cell_length_a 5.972
_cell_length_b 5.972
_cell_length_c 6.417
_cell_angle_alpha 78.74
_cell_angle_beta 78.74
_cell_angle_gamma 71.09
_space_group_name_H-M_alt 'P 1'
_space_group_IT_number 1
_space_group_name_Hall 'P 1'
loop_
_atom_site_label
_atom_site_type_symbol
_atom_site_fract_x
_atom_site_fract_y
_atom_site_fract_z
O1 O 0.289 0.289 0.492
O2 O 0.146 0.485 0.151
O3 O 0.711 0.711 0.508
O4 O 0.854 0.515 0.849
O5 O 0.515 0.854 0.849
O6 O 0.485 0.146 0.151
O7 O 0.483 0.483 0.763
O8 O 0.517 0.517 0.237
S1 S 0.364 0.364 0.266
S2 S 0.636 0.636 0.734
Cl1 Cl 0.021 0.021 0.238
Cl2 Cl 0.979 0.979 0.762
Dy1 Dy 0.774 0.774 0.135
Dy2 Dy 0.226 0.226 0.865
# M_tot, μB/f.u.: 0.0
# DOS(E_F), states/eV/f.u.: 0.0
# Mass density, g cm⁻³: 4.6
# Space group: C2/m, No. 12
# Uncorrected formation energy, meV per atom: -2152